Compound: Fe2BiSO
Source: Alexandria via LeMat-Bulk
Functional: PBE+U
Structure: optimized geometry

a b c (Å): 4.010 6.627 4.010
angles (deg): 90.00 90.00 90.00
Each line ends with the local moment (μB).
Sites, in units of the cell vectors:
O (0.000, 0.000, 0.000)  -0.04
S (0.500, 0.500, 0.500)  0.02
Fe (0.500, 0.000, 0.000)  3.50
Bi (0.000, 0.500, 0.000)  -0.04
Fe (0.000, 0.000, 0.500)  3.68

Electronic total energy, eV/cell: -23.9
Density, g/cm³: 5.7